Entry 1:
A geometry-optimized PmPrAlSn structure, computed with PBE-GGA.

The structure in POSCAR format:
```
PmPrAlSn
1.0
5.402 0.000 0.000
2.701 4.679 0.000
2.701 1.560 4.411
Pr Al Sn Pm
1 1 1 1
Cartesian
2.701 1.560 1.103 Pr
0.000 0.000 0.000 Al
5.402 3.119 2.205 Sn
8.104 4.679 3.308 Pm
```

Computed properties:
The value obtained for the total energy is -19.06 eV per cell. The calculation puts the formation energy from the elements at -1.78 eV/f.u. For the energy above the lowest structure with this stoichiometry, the calculation gives 0.161 eV/atom. The space group is F-43m, No. 216. The crystal system is cubic.



Entry 2:
A geometry-optimized La2Zn2Ni15 structure, computed with PBE-GGA.

The structure in POSCAR format:
```
La2Zn2Ni15
1.0
-3.876 -5.039 -0.467
3.596 -3.393 -4.024
2.884 -3.624 4.380
La Zn Ni
2 2 15
Cartesian
0.904 -4.184 -0.039 La
1.700 -7.872 -0.073 La
0.256 -1.187 -0.011 Zn
2.347 -10.869 -0.100 Zn
-1.938 -2.520 -0.234 Ni
1.442 -1.812 2.190 Ni
1.798 -1.696 -2.012 Ni
3.387 -3.461 -1.563 Ni
-1.688 -4.557 -1.509 Ni
0.904 -4.039 2.960 Ni
1.408 -3.875 -2.982 Ni
-1.896 -4.625 0.952 Ni
3.092 -3.556 1.919 Ni
3.675 -5.379 0.163 Ni
0.253 -6.095 -2.290 Ni
-0.108 -6.212 1.964 Ni
-1.071 -6.678 -0.275 Ni
2.351 -5.961 2.179 Ni
2.712 -5.844 -2.075 Ni
```

Computed properties:
The value obtained for the total energy is -103.07 eV per cell. The calculation puts the formation energy from the elements at -3.95 eV/f.u. The space group is R-3m, No. 166. The crystal system is trigonal.



Entry 3:
A geometry-optimized Li3ScU3S8 structure, computed with PBE-GGA.

The structure in POSCAR format:
```
Li3ScU3S8
1.0
7.702 0.000 0.000
-3.851 6.670 -0.024
0.000 -4.425 6.223
Li Sc U S
3 1 3 8
Cartesian
0.000 0.000 0.000 Li
-1.925 3.335 -0.012 Li
1.925 3.335 -0.012 Li
0.000 -2.213 3.112 Sc
3.851 -2.213 3.112 U
1.925 1.122 3.100 U
-1.926 1.122 3.100 U
0.000 2.228 1.486 S
3.851 0.016 4.714 S
3.851 2.314 1.591 S
0.000 -0.070 4.608 S
2.000 5.520 1.580 S
1.851 -3.276 4.619 S
-2.000 5.520 1.580 S
5.851 -3.276 4.619 S
```

Computed properties:
The value obtained for the total energy is -100.99 eV per cell. Its uncorrected formation energy is -1.469 eV per atom. The space group is R-3m, No. 166. The crystal system is trigonal.



Entry 4:
A geometry-optimized Pu2ZrPa6 structure, computed with PBE-GGA.

The structure in POSCAR format:
```
Pu2ZrPa6
1.0
-2.192 -1.833 -1.477
5.164 -1.641 -7.283
-0.954 -5.782 6.933
Pu Zr Pa
2 1 6
Cartesian
0.695 -3.094 -0.602 Pu
1.323 -6.162 -1.225 Pu
0.000 0.000 0.000 Zr
0.547 -3.300 -3.652 Pa
3.454 -4.614 -2.783 Pa
1.471 -5.956 1.824 Pa
3.010 -3.274 -5.564 Pa
-1.436 -4.642 0.956 Pa
-0.992 -5.982 3.737 Pa
```

Computed properties:
The value obtained for the total energy is -93.10 eV per cell. The calculation puts the formation energy from the elements at 1.08 eV/f.u. The space group is C2/m, No. 12. The crystal system is monoclinic.



Entry 5:
A geometry-optimized Ac5Mg2Ge5 structure, computed with PBE-GGA.

The structure in POSCAR format:
```
Ac5Mg2Ge5
1.0
-3.383 -3.024 -0.074
1.303 2.126 -7.298
7.829 -8.883 5.159
Ac Mg Ge
5 2 5
Cartesian
2.223 -5.954 2.543 Ac
-1.710 -1.438 -2.220 Ac
0.656 -4.111 -1.139 Ac
5.094 -5.671 -1.074 Ac
7.460 -8.344 0.007 Ac
5.869 -6.634 2.876 Mg
-0.118 -3.147 -5.090 Mg
3.313 -3.719 0.526 Ge
4.326 -8.272 1.217 Ge
1.425 -1.509 -3.430 Ge
2.437 -6.063 -2.739 Ge
0.000 0.000 0.000 Ge
```

Computed properties:
The value obtained for the total energy is -52.75 eV per cell. The calculation puts the formation energy from the elements at -5.94 eV/f.u. The space group is C2/m, No. 12. The crystal system is monoclinic.



Entry 6:
A geometry-optimized TmAlCu3 structure, computed with PBE-GGA.

The structure in POSCAR format:
```
TmAlCu3
1.0
-0.931 3.702 1.069
-3.819 -1.035 0.256
3.060 -2.616 4.374
Tm Al Cu
1 1 3
Cartesian
0.011 -0.021 0.082 Tm
-2.189 0.987 2.027 Al
-1.540 -1.207 2.840 Cu
-0.097 1.161 3.246 Cu
0.560 -1.047 4.113 Cu
```

Computed properties:
The value obtained for the total energy is -21.62 eV per cell. The calculation puts the formation energy from the elements at -1.12 eV/f.u. For the energy above the lowest structure with this stoichiometry, the calculation gives 0.000 eV/atom. The space group is I4mm, No. 107. The crystal system is tetragonal.



Entry 7:
A geometry-optimized Sr2Hg4Bi2Pt structure, computed with PBE-GGA.

The structure in POSCAR format:
```
Sr2Hg4Bi2Pt
1.0
7.185 -0.168 -0.243
-3.596 6.222 0.243
-3.596 -1.959 5.911
Sr Hg Bi Pt
2 4 2 1
Cartesian
-0.004 4.093 1.538 Sr
-0.004 0.002 4.372 Sr
-3.596 3.988 1.790 Hg
-1.967 3.023 4.363 Hg
-3.596 0.275 4.363 Hg
1.959 1.072 1.548 Hg
-5.214 3.090 4.460 Bi
-1.979 1.173 1.693 Bi
0.000 0.000 0.000 Pt
```

Computed properties:
The value obtained for the total energy is -21.91 eV per cell. The calculation puts the formation energy from the elements at -3.54 eV/f.u. The space group is I4/mmm, No. 139. The crystal system is tetragonal.



Entry 8:
A geometry-optimized Li2TbAg2Hg2 structure, computed with PBE-GGA.

The structure in POSCAR format:
```
Li2TbAg2Hg2
1.0
-0.948 4.668 -0.378
-1.240 1.852 -4.227
-7.714 0.874 -0.055
Li Tb Ag Hg
2 1 2 2
Cartesian
-4.658 1.443 -0.703 Li
-5.245 5.951 -3.957 Li
0.000 0.000 0.000 Tb
-3.531 3.961 -2.631 Ag
-6.371 3.433 -2.029 Ag
-7.806 5.475 -3.415 Hg
-2.096 1.919 -1.245 Hg
```

Computed properties:
The value obtained for the total energy is -16.60 eV per cell. The calculation puts the formation energy from the elements at -1.84 eV/f.u. The space group is R-3m, No. 166. The crystal system is trigonal.